Computed, not measured: a relaxed Sr3InO crystal at the PBE level of DFT.

Cell lengths 6.103, 6.103, 12.903 Å; angles 76.32, 76.32, 90.00 degrees
Atoms (fractional coordinates):
O (0.846, 0.346, 0.308)
O (0.654, 0.154, 0.692)
Sr (0.635, 0.870, 0.260)
Sr (0.130, 0.895, 0.740)
Sr (0.299, 0.299, 0.402)
Sr (0.105, 0.870, 0.260)
Sr (0.701, 0.701, 0.598)
Sr (0.130, 0.365, 0.740)
In (0.000, 0.000, 0.000)
In (0.250, 0.750, 0.500)

## Properties
Magnetization: 0.200 μB/atom
Total DFT energy (no corrections): -2.4216 eV/atom